A relaxed Sr2LiBr2 crystal, computed with GGA-PBE.

Unit cell a=5.1220 b=5.1220 c=15.3023 alpha=90.00 beta=90.00 gamma=90.00
Last column: nearest neighbours and their distance in Å.
Positions (direct):
Sr  0.0000  0.0000  0.1313  4 Br 3.14
Sr  0.0000  0.0000  0.8687  4 Br 3.14
Sr  0.5000  0.5000  0.3687  4 Br 3.14
Sr  0.5000  0.5000  0.6313  4 Br 3.14
Li  0.0000  0.0000  0.5000  8 Sr 4.14, 8 Br 4.60
Li  0.5000  0.5000  0.0000  8 Sr 4.14, 8 Br 4.60
Br  0.0000  0.5000  0.2500  4 Sr 3.14
Br  0.0000  0.5000  0.7500  4 Sr 3.14
Br  0.5000  0.0000  0.2500  4 Sr 3.14
Br  0.5000  0.0000  0.7500  4 Sr 3.14

Calculated values
The value obtained for the mass density is 2.83 g/cm³. For the energy above the most stable polymorph in this dataset, the calculation gives 0.0000 eV per atom. The calculation puts the raw formation energy at -1109 meV per atom.

A relaxed Sr2LiBr crystal, computed with GGA-PBE.

Unit cell a=7.4845 b=4.3128 c=9.7328 alpha=90.00 beta=104.88 gamma=90.00
Last column: nearest neighbours and their distance in Å.
Positions (direct):
Sr  0.2472  0.0000  0.2443  3 Br 3.39-3.40, 3 Li 3.46-3.47
Sr  0.2528  0.5000  0.7557  3 Br 3.39-3.40, 3 Li 3.46-3.47
Sr  0.7472  0.5000  0.2443  3 Br 3.39-3.40, 3 Li 3.46-3.47
Sr  0.7528  0.0000  0.7557  3 Br 3.39-3.40, 3 Li 3.46-3.47
Li  0.0000  0.0000  0.5000  6 Sr 3.46-3.47
Li  0.5000  0.5000  0.5000  6 Sr 3.46-3.47
Br  0.0000  0.5000  0.0000  6 Sr 3.39-3.40
Br  0.5000  0.0000  0.0000  6 Sr 3.39-3.40

Calculated values
The value obtained for the mass density is 2.87 g/cm³. For the energy above the most stable polymorph in this dataset, the calculation gives 0.0059 eV per atom. The calculation puts the raw formation energy at -666 meV per atom.